Entry 1:
Material: BaLiAlZn
Method: DFT, PBE
State: optimized geometry

* energy of formation from the pure elements: -0.200 eV per atom
* symmetry: No. 160
* E: -2.413 eV/atom
* ΔE to the lowest computed polymorph: 0 meV per atom
* volume: 106.6 Å³ per cell

Cell and atoms, written as POSCAR:
```
BaLiAlZn
1.0
4.578 0.000 0.000
-2.289 3.963 -0.002
0.000 -2.638 5.878
Li Al Ba Zn
1 1 1 1
direct
0.810 0.620 0.072
0.107 0.214 0.964
0.621 0.242 0.506
0.428 0.856 0.926
```



Entry 2:
Material: BaLiAlZn2
Method: DFT, PBE
State: optimized geometry

* energy of formation from the pure elements: -0.184 eV per atom
* symmetry: No. 119
* E: -2.210 eV/atom
* volume: 117.1 Å³ per cell

Cell and atoms, written as POSCAR:
```
BaLiAlZn2
1.0
4.695 0.000 0.000
0.000 4.695 0.000
-2.348 -2.348 5.312
Ba Al Zn Li
1 1 2 1
direct
0.000 0.000 0.000
0.750 0.250 0.500
0.374 0.374 0.748
0.626 0.626 0.252
0.250 0.750 0.500
```



Entry 3:
Material: BaLiAlZn
Method: DFT, PBE
State: optimized geometry

* energy of formation from the pure elements: -0.060 eV per atom
* symmetry: No. 216
* E: -2.273 eV/atom
* ΔE to the lowest computed polymorph: 140 meV per atom
* volume: 97.3 Å³ per cell

Cell and atoms, written as POSCAR:
```
BaLiAlZn
1.0
-1.307 4.684 -1.734
-4.957 1.441 -0.058
-1.681 3.598 3.299
Li Al Zn Ba
1 1 1 1
direct
0.500 0.500 0.500
0.250 0.250 0.250
0.000 0.000 0.000
0.750 0.750 0.750
```



Entry 4:
Material: BaLu2Al
Method: DFT, PBE
State: optimized geometry

* energy of formation from the pure elements: -0.052 eV per atom
* symmetry: No. 123
* E: -3.729 eV/atom
* ΔE to the lowest computed polymorph: 0 meV per atom
* volume: 126.3 Å³ per cell

Cell and atoms, written as POSCAR:
```
BaLu2Al
1.0
3.583 0.000 0.000
0.000 3.583 0.000
0.000 0.000 9.841
Al Ba Lu
1 1 2
direct
0.500 0.500 0.000
0.500 0.500 0.500
0.000 0.000 0.821
0.000 0.000 0.179
```



Entry 5:
Material: BaLu2Al
Method: DFT, PBE
State: optimized geometry

* energy of formation from the pure elements: 0.159 eV per atom
* symmetry: No. 166
* E: -3.518 eV/atom
* ΔE to the lowest computed polymorph: 211 meV per atom
* volume: 126.7 Å³ per cell

Cell and atoms, written as POSCAR:
```
BaLu2Al
1.0
3.550 0.000 0.000
1.775 3.074 0.000
1.775 1.025 11.609
Ba Lu Al
1 2 1
direct
0.000 0.000 0.000
0.896 0.896 0.312
0.104 0.104 0.688
0.500 0.500 0.500
```



Entry 6:
Material: BaLuAl2
Method: DFT, PBE
State: optimized geometry

* energy of formation from the pure elements: -0.207 eV per atom
* symmetry: No. 123
* E: -3.689 eV/atom
* volume: 111.8 Å³ per cell

Cell and atoms, written as POSCAR:
```
BaLuAl2
1.0
3.785 0.000 0.000
0.000 3.785 0.000
0.000 0.000 7.801
Ba Al Lu
1 2 1
direct
0.500 0.500 0.500
0.000 0.000 0.810
0.000 0.000 0.190
0.500 0.500 0.000
```



Entry 7:
Material: Ba6Lu2Al4O15
Method: DFT, PBE
State: optimized geometry

* symmetry: No. 13
* E: -7.121 eV/atom
* volume: 858.4 Å³ per cell

Cell and atoms, written as POSCAR:
```
Ba6Lu2Al4O15
1.0
-3.547 4.166 2.244
-3.901 -5.508 4.059
11.859 2.627 13.872
O Ba Lu Al
30 12 4 8
direct
0.536 0.244 0.834
0.503 0.764 0.001
0.013 0.763 0.006
0.013 0.237 0.494
0.497 0.764 0.501
0.753 0.464 0.090
0.980 0.269 0.316
0.247 0.464 0.590
0.536 0.756 0.666
0.464 0.244 0.334
0.680 0.688 0.811
0.239 0.945 0.896
0.020 0.269 0.816
0.464 0.756 0.166
0.320 0.688 0.311
0.497 0.236 0.999
0.987 0.237 0.994
0.786 0.000 0.750
0.247 0.536 0.910
0.320 0.312 0.189
0.753 0.536 0.410
0.680 0.312 0.689
0.020 0.731 0.684
0.980 0.731 0.184
0.239 0.055 0.604
0.214 0.000 0.250
0.987 0.763 0.506
0.761 0.945 0.396
0.761 0.055 0.104
0.503 0.236 0.499
0.747 0.971 0.911
0.754 0.501 0.918
0.253 0.971 0.411
0.246 0.499 0.082
0.253 0.029 0.089
0.732 0.000 0.250
0.682 0.500 0.250
0.747 0.029 0.589
0.246 0.501 0.418
0.754 0.499 0.582
0.318 0.500 0.750
0.268 0.000 0.750
0.749 0.752 0.089
0.251 0.248 0.911
0.749 0.248 0.411
0.251 0.752 0.589
0.252 0.752 0.945
0.763 0.778 0.730
0.237 0.222 0.270
0.748 0.248 0.055
0.252 0.248 0.555
0.237 0.778 0.230
0.763 0.222 0.770
0.748 0.752 0.445
```



Entry 8:
Material: BaMgAl
Method: DFT, PBE
State: optimized geometry

* energy of formation from the pure elements: 0.555 eV per atom
* symmetry: No. 216
* E: -1.865 eV/atom
* volume: 118.1 Å³ per cell

Cell and atoms, written as POSCAR:
```
BaMgAl
1.0
5.508 0.000 0.000
2.754 4.770 0.000
2.754 1.590 4.497
Al Ba Mg
1 1 1
direct
0.500 0.500 0.500
0.750 0.750 0.750
0.000 0.000 0.000
```



Entry 9:
Material: Ba2Mg3Al
Method: DFT, PBE
State: optimized geometry

* energy of formation from the pure elements: -0.096 eV per atom
* symmetry: No. 12
* E: -2.158 eV/atom
* volume: 190.3 Å³ per cell

Cell and atoms, written as POSCAR:
```
Ba2Mg3Al
1.0
5.698 -0.179 -2.991
-3.628 5.311 -0.268
-0.228 0.183 6.472
Mg Ba Al
3 2 1
direct
0.500 0.000 0.500
0.500 0.500 0.500
0.000 0.000 0.500
0.743 0.371 0.114
0.257 0.629 0.886
0.000 0.000 0.000
```



Entry 10:
Material: BaMgAl
Method: DFT, PBE
State: optimized geometry

* energy of formation from the pure elements: -0.089 eV per atom
* symmetry: No. 1
* E: -2.509 eV/atom
* volume: 203.4 Å³ per cell

Cell and atoms, written as POSCAR:
```
BaMgAl
1.0
-0.739 0.255 4.411
-4.475 -4.632 -0.443
3.723 -5.634 3.229
Mg Al Ba
2 2 2
direct
0.617 0.971 0.038
0.803 0.658 0.670
0.982 0.931 0.306
0.437 0.696 0.403
0.096 0.475 0.086
0.323 0.153 0.623
```



Entry 11:
Material: Ba4Mg2Al
Method: DFT, PBE
State: optimized geometry

* energy of formation from the pure elements: 0.207 eV per atom
* symmetry: No. 139
* E: -1.882 eV/atom
* volume: 381.7 Å³ per cell

Cell and atoms, written as POSCAR:
```
Ba4Mg2Al
1.0
-2.596 -4.703 3.853
6.041 -2.464 1.062
2.622 1.620 9.415
Mg Ba Al
2 4 1
direct
0.597 0.597 0.806
0.403 0.403 0.194
0.000 0.500 0.000
0.809 0.809 0.383
0.500 0.000 0.000
0.191 0.191 0.617
0.000 0.000 0.000
```



Entry 12:
Material: Ba3Mg7Al2
Method: DFT, PBE
State: optimized geometry

* energy of formation from the pure elements: -0.076 eV per atom
* symmetry: No. 166
* E: -2.110 eV/atom
* volume: 361.4 Å³ per cell

Cell and atoms, written as POSCAR:
```
Ba3Mg7Al2
1.0
-2.238 -3.421 4.949
0.859 -6.360 0.155
8.322 -1.955 6.574
Mg Al Ba
7 2 3
direct
0.077 0.577 0.770
0.423 0.423 0.230
0.500 0.500 0.500
0.923 0.423 0.230
0.577 0.077 0.770
0.577 0.577 0.770
0.423 0.923 0.230
0.666 0.666 0.003
0.334 0.334 0.997
0.146 0.146 0.563
0.000 0.000 0.000
0.854 0.854 0.437
```



Entry 13:
Material: Ba2MgAl2
Method: DFT, PBE
State: optimized geometry

* energy of formation from the pure elements: -0.126 eV per atom
* symmetry: No. 12
* E: -2.712 eV/atom
* ΔE to the lowest computed polymorph: 0 meV per atom
* volume: 338.8 Å³ per cell

Cell and atoms, written as POSCAR:
```
Ba2MgAl2
1.0
5.324 0.000 0.000
2.662 5.866 -0.423
2.662 0.205 10.833
Al Ba Mg
4 4 2
direct
0.004 0.097 0.896
0.869 0.709 0.553
0.996 0.903 0.104
0.131 0.291 0.447
0.707 0.702 0.885
0.486 0.702 0.326
0.514 0.298 0.674
0.293 0.298 0.115
0.776 0.086 0.363
0.224 0.914 0.637
```



Entry 14:
Material: Ba2MgAl3
Method: DFT, PBE
State: optimized geometry

* energy of formation from the pure elements: -0.095 eV per atom
* symmetry: No. 63
* E: -2.873 eV/atom
* volume: 376.2 Å³ per cell

Cell and atoms, written as POSCAR:
```
Ba2MgAl3
1.0
5.601 0.000 0.000
0.000 7.277 -3.869
0.000 0.188 9.131
Mg Ba Al
2 4 6
direct
0.750 0.329 0.000
0.250 0.671 0.000
0.250 0.173 0.701
0.250 0.473 0.299
0.750 0.527 0.701
0.750 0.827 0.299
0.250 0.771 0.727
0.750 0.956 0.727
0.750 0.229 0.273
0.500 0.000 0.000
0.000 0.000 0.000
0.250 0.044 0.273
```



Entry 15:
Material: BaMgAl
Method: DFT, PBE
State: optimized geometry

* energy of formation from the pure elements: 0.014 eV per atom
* symmetry: No. 107
* E: -2.406 eV/atom
* volume: 91.3 Å³ per cell

Cell and atoms, written as POSCAR:
```
BaMgAl
1.0
7.111 0.037 -0.040
6.121 3.620 -0.035
0.990 0.269 3.573
Al Ba Mg
1 1 1
direct
0.026 0.026 0.974
0.341 0.341 0.659
0.633 0.633 0.367
```



Entry 16:
Material: Ba2Mg2Al15
Method: DFT, PBE
State: optimized geometry

* energy of formation from the pure elements: -0.108 eV per atom
* symmetry: No. 166
* E: -3.433 eV/atom
* volume: 388.8 Å³ per cell

Cell and atoms, written as POSCAR:
```
Ba2Mg2Al15
1.0
-2.383 2.919 -6.320
-5.196 -4.997 -1.474
-5.724 3.717 2.749
Ba Al Mg
2 15 2
direct
0.655 0.655 0.655
0.345 0.345 0.345
0.286 0.000 0.714
0.000 0.000 0.500
0.653 0.155 0.653
0.653 0.653 0.155
0.347 0.845 0.347
0.000 0.500 0.000
0.000 0.286 0.714
0.286 0.714 0.000
0.500 0.000 0.000
0.155 0.653 0.653
0.347 0.347 0.845
0.000 0.714 0.286
0.714 0.000 0.286
0.845 0.347 0.347
0.714 0.286 0.000
0.899 0.899 0.899
0.101 0.101 0.101
```



Entry 17:
Material: BaMgAl
Method: DFT, PBE
State: optimized geometry

* energy of formation from the pure elements: 0.110 eV per atom
* symmetry: No. 216
* E: -2.310 eV/atom
* volume: 108.5 Å³ per cell

Cell and atoms, written as POSCAR:
```
BaMgAl
1.0
-0.592 -0.917 5.241
2.202 -4.343 2.223
4.187 0.511 3.297
Ba Al Mg
1 1 1
direct
0.000 0.000 0.000
0.750 0.750 0.750
0.500 0.500 0.500
```



Entry 18:
Material: BaMgAl3
Method: DFT, PBE
State: optimized geometry

* energy of formation from the pure elements: 1.406 eV per atom
* symmetry: No. 221
* E: -1.543 eV/atom
* volume: 207.5 Å³ per cell

Cell and atoms, written as POSCAR:
```
BaMgAl3
1.0
-2.095 -5.020 2.336
-1.768 -1.761 -5.369
5.247 -2.597 -0.876
Al Ba Mg
3 1 1
direct
0.000 0.500 0.000
0.000 0.000 0.500
0.500 0.000 0.000
0.000 0.000 0.000
0.500 0.500 0.500
```



Entry 19:
Material: BaMg6Al3
Method: DFT, PBE
State: optimized geometry

* energy of formation from the pure elements: -0.053 eV per atom
* symmetry: No. 14
* E: -2.324 eV/atom
* volume: 486.2 Å³ per cell

Cell and atoms, written as POSCAR:
```
BaMg6Al3
1.0
-3.974 -1.853 -6.111
-3.481 -5.636 3.972
-5.100 6.832 1.246
Al Mg Ba
6 12 2
direct
0.000 0.500 0.000
0.267 0.620 0.851
0.767 0.880 0.649
0.233 0.120 0.351
0.733 0.380 0.149
0.500 0.000 0.500
0.062 0.452 0.325
0.562 0.048 0.175
0.363 0.342 0.049
0.794 0.757 0.293
0.294 0.743 0.207
0.706 0.257 0.793
0.637 0.658 0.951
0.438 0.952 0.825
0.206 0.243 0.707
0.137 0.842 0.549
0.938 0.548 0.675
0.863 0.158 0.451
0.000 0.000 0.000
0.500 0.500 0.500
```



Entry 20:
Material: Ba4MgAl
Method: DFT, PBE
State: optimized geometry

* energy of formation from the pure elements: 0.068 eV per atom
* symmetry: No. 166
* E: -2.103 eV/atom
* ΔE to the lowest computed polymorph: 0 meV per atom
* volume: 312.6 Å³ per cell

Cell and atoms, written as POSCAR:
```
Ba4MgAl
1.0
-1.388 -1.156 5.742
-3.494 -4.707 1.363
6.456 -7.725 3.160
Ba Mg Al
4 1 1
direct
0.117 0.117 0.649
0.368 0.368 0.897
0.632 0.632 0.103
0.883 0.883 0.351
0.500 0.500 0.500
0.000 0.000 0.000
```



Entry 21:
Material: Ba4Mg3Al
Method: DFT, PBE
State: optimized geometry

* energy of formation from the pure elements: -0.052 eV per atom
* symmetry: No. 123
* E: -2.079 eV/atom
* volume: 319.3 Å³ per cell

Cell and atoms, written as POSCAR:
```
Ba4Mg3Al
1.0
-1.173 -2.476 3.247
4.000 -0.017 1.432
-3.421 14.374 9.725
Mg Ba Al
3 4 1
direct
0.500 0.500 0.243
0.500 0.500 0.500
0.500 0.500 0.757
0.000 0.000 0.370
0.000 0.000 0.630
0.000 0.000 0.887
0.000 0.000 0.113
0.500 0.500 0.000
```



Entry 22:
Material: Ba2Mg2Al
Method: DFT, PBE
State: optimized geometry

* energy of formation from the pure elements: 0.033 eV per atom
* symmetry: No. 127
* E: -2.122 eV/atom
* volume: 346.8 Å³ per cell

Cell and atoms, written as POSCAR:
```
Ba2Mg2Al
1.0
-7.687 0.400 -0.700
-0.772 -1.725 7.494
0.174 5.652 1.318
Mg Ba Al
4 4 2
direct
0.636 0.136 0.000
0.136 0.364 0.000
0.864 0.636 0.000
0.364 0.864 0.000
0.314 0.186 0.500
0.686 0.814 0.500
0.814 0.314 0.500
0.186 0.686 0.500
0.500 0.500 0.000
0.000 0.000 0.000
```



In the order shown, the computed total moment values come out to 0.0; 0.0; 0.0; 0.0; 0.2; 0.0; 0.0; 0.0; 0.0; 0.0; 2.0; 0.0; 0.0; 0.0; 0.0; 0.0; 1.0; 0.0; 0.0; 0.0; 0.0; 0.0 Bohr magnetons per cell.